SmDy8Tm4: optimized geometry, PBE.

Calculated values
- crystal system = trigonal
- size of the total moment (Bohr magnetons per cell) = 0.0
- E_tot (Ry/atom) = -0.321

POSCAR file:
```
SmDy8Tm4
1.0
3.6152 2.0872 9.0387
-3.6152 2.0872 9.0387
0.0000 -4.1745 9.0387
Sm Dy Tm
1 8 4
direct
0.0000 0.0000 0.0000
0.2506 0.2506 0.6975
0.2506 0.6975 0.2506
0.2826 0.2826 0.2826
0.3025 0.7494 0.7494
0.6975 0.2506 0.2506
0.7174 0.7174 0.7174
0.7494 0.3025 0.7494
0.7494 0.7494 0.3025
0.0000 0.0000 0.5000
0.0000 0.5000 0.0000
0.5000 0.0000 0.0000
0.5000 0.5000 0.5000
```

***

Cs2NaHg: optimized geometry, PBE.

Calculated values
- crystal system = trigonal
- size of the total moment (Bohr magnetons per cell) = 0.0
- E_tot (Ry/atom) = -0.059

POSCAR file:
```
Cs2NaHg
1.0
2.4062 1.3892 13.4088
-2.4062 1.3892 13.4088
0.0000 -2.7784 13.4088
Cs Na Hg
2 1 1
direct
0.1026 0.1026 0.1026
0.8974 0.8974 0.8974
0.0000 0.0000 0.0000
0.5000 0.5000 0.5000
```

***

Question: Which value of size of the total moment does entry 2 give?
Answer: 0.0 Bohr magnetons per cell